1.
A plane-wave DFT calculation with PBE-GGA was carried out for a geometry-optimized CaBeAs4 structure. Values from VASP.

Quantum ESPRESSO input file:
```
&SYSTEM
  ibrav = 0, nat = 6, ntyp = 3
/
ATOMIC_SPECIES
Ca 40.08 Ca.upf
Be 9.01 Be.upf
As 74.92 As.upf
CELL_PARAMETERS angstrom
0.000 3.967 3.967
3.967 0.000 3.967
3.967 3.967 0.000
ATOMIC_POSITIONS crystal
Ca 0.000 0.000 0.000
Be 0.250 0.250 0.250
As 0.134 0.622 0.622
As 0.622 0.134 0.622
As 0.622 0.622 0.134
As 0.622 0.622 0.622
```

Values from the calculation:
Its volume is 124.8 Å³ per cell. The final energy comes out at -23.04 eV/cell. The value obtained for the energy of formation from the pure elements is 0.214 eV/atom. Its size of the total moment is 0.00 μB/f.u.

***

2.
A plane-wave DFT calculation with PBE-GGA was carried out for a geometry-optimized Pm3Os structure. Values from VASP.

Quantum ESPRESSO input file:
```
&SYSTEM
  ibrav = 0, nat = 8, ntyp = 2
/
ATOMIC_SPECIES
Pm 145.00 Pm.upf
Os 190.23 Os.upf
CELL_PARAMETERS angstrom
3.728 0.000 0.000
0.000 11.041 0.000
0.000 0.000 5.493
ATOMIC_POSITIONS crystal
Pm 0.000 0.000 0.000
Pm 0.000 0.195 0.499
Pm 0.000 0.805 0.499
Pm 0.500 0.305 0.999
Pm 0.500 0.500 0.500
Pm 0.500 0.695 0.999
Os 0.000 0.500 0.946
Os 0.500 0.000 0.446
```

Values from the calculation:
Its volume is 226.1 Å³ per cell. The final energy comes out at -50.97 eV/cell. The energy above the most stable polymorph in this dataset is 0.079 eV per atom. The value obtained for the energy of formation from the pure elements is -0.001 eV/atom. Its size of the total moment is 0.00 μB/f.u.

***

The lowest energy of formation from the pure elements belongs to which entry?
Pm3Os

***

size of the total moment of number 1 (CaBeAs4)?
0.00 μB/f.u.

***

Which of these has the lowest energy of formation from the pure elements?
Pm3Os

***

Look up the final energy of the first one.
-23.04 eV/cell